Record 1
First-principles (PBE) data for CrMoCl after structural relaxation, as listed in Alexandria via LeMat-Bulk.

Lattice parameters (Å, degrees): 3.1104 3.1104 5.8235 90.00 90.00 120.00
Last column: nearest neighbours and their distance in Å.
Fractional coordinates of all 3 atoms:
Cr (0.0000, 0.0000, 0.0000)  3 Mo 2.35
Mo (0.6667, 0.3333, 0.2612)  3 Cr 2.35
Cl (0.3333, 0.6667, 0.6655)  3 Cr 2.65, 3 Mo 2.96

The total DFT energy (no corrections) comes out at -0.5327 Ry per atom. As for the space-group type: P3m1. As for the density of states at the Fermi level: 0.5226 states/eV/atom.

=====

Record 2
First-principles (PBE) data for Cr2Mo2Cl7 after structural relaxation, as listed in Alexandria via LeMat-Bulk.

Lattice parameters (Å, degrees): 7.0831 7.0831 12.7028 90.15 90.15 102.12
Last column: nearest neighbours and their distance in Å.
Fractional coordinates of all 22 atoms:
Cr (0.1028, 0.1382, 0.3235)  4 Cl 2.32-2.36
Cr (0.1382, 0.1028, 0.8235)  4 Cl 2.32-2.36
Cr (0.8618, 0.8972, 0.1765)  4 Cl 2.32-2.36
Cr (0.8972, 0.8618, 0.6765)  4 Cl 2.32-2.36
Mo (0.0114, 0.8556, 0.4670)  1 Mo 2.25, 3 Cl 2.38-2.50
Mo (0.1444, 0.9886, 0.0330)  1 Mo 2.25, 3 Cl 2.38-2.50
Mo (0.8556, 0.0114, 0.9670)  1 Mo 2.25, 3 Cl 2.38-2.50
Mo (0.9886, 0.1444, 0.5330)  1 Mo 2.25, 3 Cl 2.38-2.50
Cl (0.0494, 0.6809, 0.1145)  1 Cr 2.36, 1 Mo 2.38
Cl (0.1848, 0.8152, 0.7500)  2 Cr 2.32
Cl (0.2097, 0.4016, 0.4340)  1 Cr 2.33, 1 Mo 2.48
Cl (0.2377, 0.2749, 0.6689)  1 Cr 2.34, 1 Mo 2.50
Cl (0.2749, 0.2377, 0.1689)  1 Cr 2.34, 1 Mo 2.50
Cl (0.3191, 0.9506, 0.3855)  1 Cr 2.36, 1 Mo 2.38
Cl (0.4016, 0.2097, 0.9340)  1 Cr 2.33, 1 Mo 2.48
Cl (0.5984, 0.7903, 0.0660)  1 Cr 2.33, 1 Mo 2.48
Cl (0.6809, 0.0494, 0.6145)  1 Cr 2.36, 1 Mo 2.38
Cl (0.7251, 0.7623, 0.8311)  1 Cr 2.34, 1 Mo 2.50
Cl (0.7623, 0.7251, 0.3311)  1 Cr 2.34, 1 Mo 2.50
Cl (0.7903, 0.5984, 0.5660)  1 Cr 2.33, 1 Mo 2.48
Cl (0.8152, 0.1848, 0.2500)  2 Cr 2.32
Cl (0.9506, 0.3191, 0.8855)  1 Cr 2.36, 1 Mo 2.38

The total DFT energy (no corrections) comes out at -0.4063 Ry per atom. As for the space-group type: C2/c. As for the density of states at the Fermi level: 0.0004 states/eV/atom.

=====

Record 3
First-principles (PBE) data for CrMo2Cl after structural relaxation, as listed in Alexandria via LeMat-Bulk.

Lattice parameters (Å, degrees): 5.1721 5.1721 5.1721 147.97 128.94 61.56
Last column: nearest neighbours and their distance in Å.
Fractional coordinates of all 4 atoms:
Cr (0.0000, 0.0000, 0.0000)  2 Cl 2.37
Mo (0.2580, 0.7580, 0.5000)  4 Cl 2.66, 2 Cr 2.70, 6 Mo 2.85-2.95
Mo (0.5479, 0.5479, 0.0000)  2 Cl 2.56, 4 Cr 2.68, 2 Mo 2.85
Cl (0.7869, 0.2869, 0.5000)  2 Cr 2.37, 2 Mo 2.56

The total DFT energy (no corrections) comes out at -0.5631 Ry per atom. As for the space-group type: Imm2. As for the density of states at the Fermi level: 1.1430 states/eV/atom.

=====

Record 4
First-principles (PBE) data for Cr2MoCl after structural relaxation, as listed in Alexandria via LeMat-Bulk.

Lattice parameters (Å, degrees): 5.0163 5.0163 5.0163 147.80 128.77 61.81
Last column: nearest neighbours and their distance in Å.
Fractional coordinates of all 4 atoms:
Cr (0.2224, 0.2224, 0.0000)  2 Cl 2.37, 4 Cr 2.62
Cr (0.7776, 0.7776, 0.0000)  2 Cl 2.37, 4 Cr 2.62
Mo (0.5000, 0.0000, 0.5000)  4 Cl 2.58, 4 Cr 2.77, 2 Mo 2.78
Cl (0.0000, 0.5000, 0.5000)  4 Cr 2.37, 4 Mo 2.58

The total DFT energy (no corrections) comes out at -0.5382 Ry per atom. As for the space-group type: Immm. As for the density of states at the Fermi level: 1.1681 states/eV/atom.

=====

Record 5
First-principles (PBE) data for CrMo2Cl after structural relaxation, as listed in Alexandria via LeMat-Bulk.

Lattice parameters (Å, degrees): 2.9728 4.4057 4.7166 90.00 90.00 90.00
Last column: nearest neighbours and their distance in Å.
Fractional coordinates of all 4 atoms:
Cr (0.0000, 0.0000, 0.0000)  4 Cl 2.66, 4 Mo 2.79, 2 Cr 2.97
Mo (0.0000, 0.5000, 0.5000)  6 Mo 2.66-2.97, 4 Cl 2.79
Mo (0.5000, 0.0000, 0.5000)  6 Mo 2.66-2.97, 4 Cr 2.79
Cl (0.5000, 0.5000, 0.0000)  4 Cr 2.66, 4 Mo 2.79, 2 Cl 2.97

The total DFT energy (no corrections) comes out at -0.5523 Ry per atom. As for the space-group type: Pmmm. As for the density of states at the Fermi level: 0.8955 states/eV/atom.

=====

Record 6
First-principles (PBE) data for Cr2MoCl2 after structural relaxation, as listed in Alexandria via LeMat-Bulk.

Lattice parameters (Å, degrees): 7.2694 7.2694 2.8075 90.00 90.00 90.00
Last column: nearest neighbours and their distance in Å.
Fractional coordinates of all 10 atoms:
Cr (0.1954, 0.3046, 0.0000)  2 Cl 2.26
Cr (0.3046, 0.8046, 0.0000)  2 Cl 2.26
Cr (0.6954, 0.1954, 0.0000)  2 Cl 2.26
Cr (0.8046, 0.6954, 0.0000)  2 Cl 2.26
Mo (0.0000, 0.0000, 0.0000)  4 Cr 2.63, 2 Mo 2.81
Mo (0.5000, 0.5000, 0.0000)  4 Cr 2.63, 2 Mo 2.81
Cl (0.1325, 0.6325, 0.5000)  2 Cr 2.26
Cl (0.3675, 0.1325, 0.5000)  2 Cr 2.26
Cl (0.6325, 0.8675, 0.5000)  2 Cr 2.26
Cl (0.8675, 0.3675, 0.5000)  2 Cr 2.26

The total DFT energy (no corrections) comes out at -0.4205 Ry per atom. As for the space-group type: P4/mbm. As for the density of states at the Fermi level: 1.1040 states/eV/atom.

=====

Q: The lowest total DFT energy (no corrections) belongs to which entry?
A: number 3

=====

Q: What is the total DFT energy (no corrections) in the first record?
A: -0.5327 Ry per atom